[1]
! Cd2Au3 PBE optimized geometry; values from VASP
! Spin magnetization   0.000 Bohr magnetons per cell
! Crystal system   monoclinic
! E_form   -142 meV per atom
&SYSTEM
  ibrav = 0, nat = 10, ntyp = 2
/
ATOMIC_SPECIES
Cd 112.41 Cd.upf
Au 196.97 Au.upf
CELL_PARAMETERS angstrom
9.348 0.000 0.000
0.000 4.134 0.000
-4.605 0.000 4.944
ATOMIC_POSITIONS crystal
Cd 0.090 0.000 0.292
Cd 0.410 0.500 0.708
Cd 0.590 0.500 0.292
Cd 0.910 0.000 0.708
Au 0.000 0.500 0.500
Au 0.203 0.500 0.111
Au 0.297 0.000 0.889
Au 0.500 0.000 0.500
Au 0.703 0.000 0.111
Au 0.797 0.500 0.889

---

[2]
! CsLiGe3 PBE optimized geometry; values from VASP
! Spin magnetization   0.000 Bohr magnetons per cell
! Relative energy among the computed polymorphs   0.0 meV per atom
! Crystal system   cubic
! E_form   469 meV per atom
&SYSTEM
  ibrav = 0, nat = 5, ntyp = 3
/
ATOMIC_SPECIES
Cs 132.91 Cs.upf
Li 6.94 Li.upf
Ge 72.64 Ge.upf
CELL_PARAMETERS angstrom
5.054 0.000 0.000
0.000 5.054 0.000
0.000 0.000 5.054
ATOMIC_POSITIONS crystal
Cs 0.000 0.000 0.000
Li 0.500 0.500 0.500
Ge 0.000 0.500 0.500
Ge 0.500 0.000 0.500
Ge 0.500 0.500 0.000

---

[3]
! Pm3GaIr PBE optimized geometry; values from VASP
! Spin magnetization   0.000 Bohr magnetons per cell
! Crystal system   monoclinic
! E_form   -531 meV per atom
&SYSTEM
  ibrav = 0, nat = 20, ntyp = 3
/
ATOMIC_SPECIES
Pm 145.00 Pm.upf
Ga 69.72 Ga.upf
Ir 192.22 Ir.upf
CELL_PARAMETERS angstrom
9.261 0.000 0.000
0.000 6.498 0.000
-4.734 0.000 8.602
ATOMIC_POSITIONS crystal
Pm 0.116 0.000 0.305
Pm 0.116 0.500 0.805
Pm 0.278 0.000 0.053
Pm 0.278 0.500 0.553
Pm 0.308 0.000 0.701
Pm 0.308 0.500 0.201
Pm 0.692 0.000 0.299
Pm 0.692 0.500 0.799
Pm 0.722 0.000 0.947
Pm 0.722 0.500 0.447
Pm 0.884 0.000 0.695
Pm 0.884 0.500 0.195
Ga 0.500 0.192 0.500
Ga 0.500 0.308 0.000
Ga 0.500 0.692 0.000
Ga 0.500 0.808 0.500
Ir 0.000 0.240 0.500
Ir 0.000 0.260 0.000
Ir 0.000 0.740 0.000
Ir 0.000 0.760 0.500

---

[4]
! SrEr3Pb2 PBE optimized geometry; values from VASP
! Spin magnetization   0.000 Bohr magnetons per cell
! Crystal system   monoclinic
! E_form   -271 meV per atom
&SYSTEM
  ibrav = 0, nat = 12, ntyp = 3
/
ATOMIC_SPECIES
Sr 87.62 Sr.upf
Er 167.26 Er.upf
Pb 207.20 Pb.upf
CELL_PARAMETERS angstrom
9.467 -2.503 0.000
9.467 2.503 0.000
-4.855 0.000 8.516
ATOMIC_POSITIONS crystal
Sr 0.135 0.135 0.076
Sr 0.865 0.865 0.924
Er 0.050 0.050 0.390
Er 0.311 0.311 0.570
Er 0.404 0.404 0.327
Er 0.596 0.596 0.673
Er 0.689 0.689 0.430
Er 0.950 0.950 0.610
Pb 0.209 0.209 0.740
Pb 0.491 0.491 0.835
Pb 0.509 0.509 0.165
Pb 0.791 0.791 0.260

---

- spin magnetization of number 2 (CsLiGe3)?
  0.000 Bohr magnetons per cell

---

- Look up the spin magnetization of the third one.
  0.000 Bohr magnetons per cell

---

- Look up the E_form of the first one.
  -142 meV per atom

---

- Which value of E_form does entry 1 give?
  -142 meV per atom